(1)
A plane-wave DFT calculation with GGA-PBE was carried out for crystalline PrSnPdAu at its relaxed geometry.

The structure in POSCAR format:
```
PrSnPdAu
1.0
4.7479 0.0000 0.0000
-2.3739 4.1118 0.0000
0.0000 0.0000 9.3054
Pr Sn Pd Au
2 2 2 2
direct
0.0000 0.0000 0.0000
0.3333 0.6667 0.5000
0.6667 0.3333 0.2773
0.6667 0.3333 0.7227
0.0000 0.0000 0.3312
0.0000 0.0000 0.6688
0.3333 0.6667 0.1582
0.3333 0.6667 0.8418
```

Properties
space-group type	P-6m2
offset from the most stable computed form	7	meV/atom
total energy	-40.5	eV for the cell shown
total moment	0.00	μB per formula unit
crystal system	hexagonal


(2)
A plane-wave DFT calculation with GGA-PBE was carried out for crystalline Dy3Cd3In2Ag at its relaxed geometry.

The structure in POSCAR format:
```
Dy3Cd3In2Ag
1.0
7.5056 0.0000 0.0000
-3.7528 6.5001 0.0000
0.0000 0.0000 4.5198
Dy Cd In Ag
3 3 2 1
direct
0.0000 0.4146 0.0000
0.4146 0.0000 0.0000
0.5854 0.5854 0.0000
0.0000 0.7595 0.5000
0.2405 0.2405 0.5000
0.7595 0.0000 0.5000
0.3333 0.6667 0.5000
0.6667 0.3333 0.5000
0.0000 0.0000 0.0000
```

Properties
space-group type	P-62m
total energy	-28.4	eV for the cell shown
total moment	0.00	μB per formula unit
crystal system	hexagonal


(3)
A plane-wave DFT calculation with GGA-PBE was carried out for crystalline Pd at its relaxed geometry.

The structure in POSCAR format:
```
Pd
1.0
-2.4883 2.4883 1.3402
2.4883 -2.4883 1.3402
2.4883 2.4883 -1.3402
Pd
2
direct
0.3750 0.6250 0.7500
0.6250 0.3750 0.2500
```

Properties
energy relative to the elements	0.3438	eV per atom
space-group type	I4_1/amd
offset from the most stable computed form	344	meV/atom
total energy	-9.7	eV for the cell shown
crystal system	tetragonal


(4)
A plane-wave DFT calculation with GGA-PBE was carried out for crystalline LuZnCuAu at its relaxed geometry.

The structure in POSCAR format:
```
LuZnCuAu
1.0
0.0000 3.2846 3.2846
3.2846 0.0000 3.2846
3.2846 3.2846 0.0000
Lu Zn Cu Au
1 1 1 1
direct
0.0000 0.0000 0.0000
0.2500 0.2500 0.2500
0.5000 0.5000 0.5000
0.7500 0.7500 0.7500
```

Properties
energy relative to the elements	-0.3680	eV per atom
space-group type	F-43m
offset from the most stable computed form	67	meV/atom
total energy	-14.2	eV for the cell shown
total moment	0.00	μB per formula unit
crystal system	cubic


(5)
A plane-wave DFT calculation with GGA-PBE was carried out for crystalline BaAlInPd2 at its relaxed geometry.

The structure in POSCAR format:
```
BaAlInPd2
1.0
4.6526 0.0000 0.0000
0.0000 4.6526 0.0000
0.0000 0.0000 10.7196
Ba Al In Pd
2 2 2 4
direct
0.2500 0.2500 0.2363
0.7500 0.7500 0.7637
0.2500 0.2500 0.8957
0.7500 0.7500 0.1043
0.2500 0.7500 0.5000
0.7500 0.2500 0.5000
0.2500 0.2500 0.6517
0.2500 0.7500 0.0000
0.7500 0.2500 0.0000
0.7500 0.7500 0.3483
```

Properties
space-group type	P4/nmm
total energy	-44.1	eV for the cell shown
crystal system	tetragonal


(6)
A plane-wave DFT calculation with GGA-PBE was carried out for crystalline TbYS2 at its relaxed geometry.

The structure in POSCAR format:
```
TbYS2
1.0
3.9170 0.0000 0.0000
0.0000 3.9170 0.0000
0.0000 0.0000 5.5416
Tb Y S
1 1 2
direct
0.0000 0.0000 0.0000
0.5000 0.5000 0.5000
0.0000 0.0000 0.5000
0.5000 0.5000 0.0000
```

Properties
space-group type	P4/mmm
total energy	-27.4	eV for the cell shown
total moment	0.00	μB per formula unit
crystal system	tetragonal


(7)
A plane-wave DFT calculation with GGA-PBE was carried out for crystalline NbZnNiW at its relaxed geometry.

The structure in POSCAR format:
```
NbZnNiW
1.0
0.0000 3.1145 3.1145
3.1145 0.0000 3.1145
3.1145 3.1145 0.0000
Nb Zn Ni W
1 1 1 1
direct
0.0000 0.0000 0.0000
0.2500 0.2500 0.2500
0.5000 0.5000 0.5000
0.7500 0.7500 0.7500
```

Properties
energy relative to the elements	0.3344	eV per atom
space-group type	F-43m
total energy	-28.5	eV for the cell shown
total moment	0.49	μB per formula unit
crystal system	cubic


(8)
A plane-wave DFT calculation with GGA-PBE was carried out for crystalline LiHoAsO at its relaxed geometry.

The structure in POSCAR format:
```
LiHoAsO
1.0
3.3567 0.0000 0.0000
0.0000 6.6662 0.0000
0.0000 0.0000 6.8966
Li Ho As O
2 2 2 2
direct
0.0000 0.1606 0.0000
0.0000 0.8394 0.5000
0.5000 0.4682 0.6864
0.5000 0.5318 0.1864
0.0000 0.2309 0.4176
0.0000 0.7691 0.9176
0.5000 0.3069 0.9570
0.5000 0.6931 0.4570
```

Properties
space-group type	Pmc2_1
offset from the most stable computed form	252	meV/atom
total energy	-45.2	eV for the cell shown
total moment	0.00	μB per formula unit
crystal system	orthorhombic